Entry from the Alexandria database: an optimized crystal structure of BaP3Cl (PBE).

abc: 4.9273 4.9273 4.9273
angles: 90.00 90.00 90.00
Space group Pm-3m (No. 221)
Unique sites:
Ba 0.0000 0.0000 0.0000
P 0.0000 0.5000 0.5000
Cl 0.5000 0.5000 0.5000

Output
As for the density of states at the Fermi level: 4.760 states/eV/f.u. Its energy above the most stable polymorph in this dataset is 0 meV per atom. Its crystal system is cubic. For the total magnetization, the calculation gives 0.0 μB per formula unit. The theoretical density comes out at 3.7 g cm⁻³. The raw formation energy is 0.47 eV/atom.